# 1
A plane-wave DFT calculation with PBE was carried out for crystalline NaBe3Au at its relaxed geometry.

Calculated values
Fermi-level density of states = 1.811 states/eV/f.u.
DFT formation energy = 1.7328 eV/atom
Total magnetization = 0.0 μB per cell
SG = No. 221

abc: 4.2834 4.2834 4.2834
angles: 90.00 90.00 90.00
Closest atoms and distances in Å follow each position.
Sites, in units of the cell vectors:
1 Na 0.0000 0.0000 0.0000  6 Be 2.14
2 Be 0.0000 0.0000 0.5000  2 Na 2.14
3 Be 0.0000 0.5000 0.0000  2 Na 2.14
4 Be 0.5000 0.0000 0.0000  2 Na 2.14
5 Au 0.5000 0.5000 0.5000  12 Be 3.03

# 2
A plane-wave DFT calculation with PBE was carried out for crystalline NaBeAu4 at its relaxed geometry.

Calculated values
Fermi-level density of states = 1.173 states/eV/f.u.
DFT formation energy = -0.1440 eV/atom
Total magnetization = 0.0 μB per cell
SG = No. 15

abc: 7.5002 7.5002 5.0538
angles: 94.01 94.01 55.55
Closest atoms and distances in Å follow each position.
Sites, in units of the cell vectors:
1 Na 0.1872 0.8128 0.7500  10 Au 3.19-3.42
2 Na 0.8128 0.1872 0.2500  10 Au 3.19-3.42
3 Be 0.0000 0.5000 0.0000  6 Au 2.40-2.43
4 Be 0.5000 0.0000 0.5000  6 Au 2.40-2.43
5 Au 0.1283 0.2799 0.5922  2 Be 2.41-2.43
6 Au 0.2799 0.1283 0.0922  2 Be 2.41-2.43
7 Au 0.2902 0.5046 0.2228  1 Be 2.40
8 Au 0.4954 0.7098 0.2772  1 Be 2.40
9 Au 0.5046 0.2902 0.7228  1 Be 2.40
10 Au 0.7098 0.4954 0.7772  1 Be 2.40
11 Au 0.7201 0.8717 0.9078  2 Be 2.41-2.43
12 Au 0.8717 0.7201 0.4078  2 Be 2.41-2.43

# 3
A plane-wave DFT calculation with PBE was carried out for crystalline NaBe3Au at its relaxed geometry.

Calculated values
Fermi-level density of states = 0.870 states/eV/f.u.
DFT formation energy = 0.3489 eV/atom
Total magnetization = 0.0 μB per cell
SG = No. 221

abc: 4.4263 4.4263 4.4263
angles: 90.00 90.00 90.00
Closest atoms and distances in Å follow each position.
Sites, in units of the cell vectors:
1 Na 0.0000 0.0000 0.0000  12 Be 3.13
2 Be 0.0000 0.5000 0.5000  2 Au 2.21
3 Be 0.5000 0.0000 0.5000  2 Au 2.21
4 Be 0.5000 0.5000 0.0000  2 Au 2.21
5 Au 0.5000 0.5000 0.5000  6 Be 2.21